[1]
Computed, not measured: crystalline CsK2I4 at its relaxed geometry at the PBE level of DFT.

Computed properties:
- energy relative to the elements, uncorrected (meV per atom) = -995
- mass density (Mg/m³) = 2.6
- crystal system = tetragonal

Lattice parameters (Å, degrees): 7.0508 7.0508 10.5318 70.44 70.44 90.00
Each line ends with the local moment (μB).
Atoms (fractional coordinates):
1 I 0.7897 0.7897 0.4206  0.27
2 I 0.2103 0.2103 0.5794  0.27
3 I 0.5000 0.0000 0.0000  0.03
4 I 0.0000 0.5000 0.0000  0.03
5 K 0.6090 0.6090 0.7819  0.00
6 K 0.3910 0.3910 0.2181  0.00
7 Cs 0.0000 0.0000 0.0000  0.00

[2]
Computed, not measured: crystalline Cs2KI at its relaxed geometry at the PBE level of DFT.

Computed properties:
- energy relative to the elements, uncorrected (meV per atom) = -728
- mass density (Mg/m³) = 2.3
- ΔE to the lowest computed polymorph (meV per atom) = 0
- crystal system = trigonal

Lattice parameters (Å, degrees): 5.2844 5.2844 13.5128 78.72 78.72 60.00
Atoms (fractional coordinates):
1 Cs 0.2720 0.2720 0.1839
2 Cs 0.0612 0.0612 0.8163
3 K 0.5002 0.5002 0.4994
4 I 0.6665 0.6665 0.0004

[3]
Computed, not measured: crystalline CsK3I at its relaxed geometry at the PBE level of DFT.

Computed properties:
- energy relative to the elements, uncorrected (meV per atom) = -488
- mass density (Mg/m³) = 1.7
- ΔE to the lowest computed polymorph (meV per atom) = 0
- crystal system = cubic

Lattice parameters (Å, degrees): 7.1818 7.1818 7.1818 90.00 90.00 90.00
Atoms (fractional coordinates):
1 K 0.0000 0.0000 0.5000
2 K 0.5000 0.0000 0.0000
3 K 0.0000 0.5000 0.0000
4 I 0.0000 0.0000 0.0000
5 Cs 0.5000 0.5000 0.5000

[4]
Computed, not measured: crystalline Cs2KI at its relaxed geometry at the PBE level of DFT.

Computed properties:
- energy relative to the elements, uncorrected (meV per atom) = -728
- mass density (Mg/m³) = 2.2
- ΔE to the lowest computed polymorph (meV per atom) = 0
- crystal system = trigonal

Lattice parameters (Å, degrees): 5.2872 5.2872 13.5224 89.98 101.30 120.00
Atoms (fractional coordinates):
1 K 0.0000 0.5000 0.5000
2 Cs 0.5443 0.2724 0.8167
3 Cs 0.4557 0.7276 0.1833
4 I 0.0000 0.0000 0.0000

[5]
Computed, not measured: crystalline CsK2I3 at its relaxed geometry at the PBE level of DFT.

Computed properties:
- energy relative to the elements, uncorrected (meV per atom) = -1493
- mass density (Mg/m³) = 3.2
- ΔE to the lowest computed polymorph (meV per atom) = 0
- crystal system = orthorhombic

Lattice parameters (Å, degrees): 5.1853 7.4678 9.0916 114.25 106.57 90.00
Atoms (fractional coordinates):
1 K 0.1649 0.1649 0.8297
2 K 0.8351 0.8351 0.1703
3 I 0.5000 0.0000 0.5000
4 I 0.1804 0.6804 0.8608
5 I 0.8196 0.3196 0.1392
6 Cs 0.5000 0.5000 0.5000

[6]
Computed, not measured: crystalline Cs3KI at its relaxed geometry at the PBE level of DFT.

Computed properties:
- energy relative to the elements, uncorrected (meV per atom) = -577
- mass density (Mg/m³) = 2.1
- ΔE to the lowest computed polymorph (meV per atom) = 0
- crystal system = cubic

Lattice parameters (Å, degrees): 7.6674 7.6674 7.6674 90.00 90.00 90.00
Atoms (fractional coordinates):
1 I 0.0000 0.0000 0.0000
2 Cs 0.0000 0.5000 0.0000
3 Cs 0.0000 0.0000 0.5000
4 Cs 0.5000 0.0000 0.0000
5 K 0.5000 0.5000 0.5000

[7]
Computed, not measured: crystalline Cs3KI at its relaxed geometry at the PBE level of DFT.

Computed properties:
- energy relative to the elements, uncorrected (meV per atom) = -174
- mass density (Mg/m³) = 1.6
- ΔE to the lowest computed polymorph (meV per atom) = 403
- crystal system = cubic

Lattice parameters (Å, degrees): 8.3262 8.3262 8.3262 90.00 90.00 90.00
Atoms (fractional coordinates):
1 Cs 0.0000 0.0000 0.5000
2 Cs 0.5000 0.0000 0.0000
3 Cs 0.0000 0.5000 0.0000
4 I 0.5000 0.5000 0.5000
5 K 0.0000 0.0000 0.0000

[8]
Computed, not measured: crystalline CsKI2 at its relaxed geometry at the PBE level of DFT.

Computed properties:
- energy relative to the elements, uncorrected (meV per atom) = -1495
- mass density (Mg/m³) = 3.4
- ΔE to the lowest computed polymorph (meV per atom) = 15
- crystal system = trigonal

Lattice parameters (Å, degrees): 5.1904 5.1904 9.4922 74.13 74.13 60.00
Atoms (fractional coordinates):
1 I 0.0753 0.0753 0.7741
2 I 0.2581 0.2581 0.2257
3 K 0.6680 0.6680 0.9959
4 Cs 0.4986 0.4986 0.5042

[9]
Computed, not measured: crystalline CsK3I3 at its relaxed geometry at the PBE level of DFT.

Computed properties:
- energy relative to the elements, uncorrected (meV per atom) = -1138
- mass density (Mg/m³) = 2.2
- crystal system = cubic

Lattice parameters (Å, degrees): 9.8086 9.8086 9.8086 90.00 90.00 90.00
Atoms (fractional coordinates):
1 I 0.0000 0.7500 0.5000
2 I 0.0000 0.2500 0.5000
3 I 0.5000 0.0000 0.7500
4 I 0.7500 0.5000 0.0000
5 I 0.2500 0.5000 0.0000
6 I 0.5000 0.0000 0.2500
7 K 0.5000 0.7500 0.0000
8 K 0.0000 0.5000 0.2500
9 K 0.7500 0.0000 0.5000
10 K 0.0000 0.5000 0.7500
11 K 0.2500 0.0000 0.5000
12 K 0.5000 0.2500 0.0000
13 Cs 0.0000 0.0000 0.0000
14 Cs 0.5000 0.5000 0.5000

[10]
Computed, not measured: crystalline Cs2KI at its relaxed geometry at the PBE level of DFT.

Computed properties:
- energy relative to the elements, uncorrected (meV per atom) = -724
- mass density (Mg/m³) = 2.5
- ΔE to the lowest computed polymorph (meV per atom) = 4
- crystal system = tetragonal

Lattice parameters (Å, degrees): 4.7964 4.7964 12.3335 90.00 90.00 90.00
Atoms (fractional coordinates):
1 Cs 0.0000 0.0000 0.8167
2 Cs 0.0000 0.0000 0.1833
3 K 0.5000 0.5000 0.5000
4 I 0.5000 0.5000 0.0000

[11]
Computed, not measured: crystalline CsK2I at its relaxed geometry at the PBE level of DFT.

Computed properties:
- energy relative to the elements, uncorrected (meV per atom) = -632
- mass density (Mg/m³) = 2.1
- ΔE to the lowest computed polymorph (meV per atom) = 37
- crystal system = tetragonal

Lattice parameters (Å, degrees): 4.5427 4.5427 12.7648 90.00 90.00 90.00
Atoms (fractional coordinates):
1 Cs 0.5000 0.5000 0.5000
2 K 0.0000 0.0000 0.1627
3 K 0.0000 0.0000 0.8373
4 I 0.5000 0.5000 0.0000

[12]
Computed, not measured: crystalline Cs2KI2 at its relaxed geometry at the PBE level of DFT.

Computed properties:
- energy relative to the elements, uncorrected (meV per atom) = -1150
- mass density (Mg/m³) = 3.3
- ΔE to the lowest computed polymorph (meV per atom) = 0
- crystal system = tetragonal

Lattice parameters (Å, degrees): 10.2668 10.2668 5.3357 90.00 90.00 90.00
Atoms (fractional coordinates):
1 I 0.6556 0.8444 0.0000
2 I 0.8444 0.3444 0.0000
3 I 0.3444 0.1556 0.0000
4 I 0.1556 0.6556 0.0000
5 Cs 0.8501 0.6499 0.5000
6 Cs 0.3501 0.8501 0.5000
7 Cs 0.1499 0.3501 0.5000
8 Cs 0.6499 0.1499 0.5000
9 K 0.0000 0.0000 0.0000
10 K 0.5000 0.5000 0.0000

Number 1: uncorrected energy -2.3161 eV per atom. Number 2: uncorrected energy -1.8167 eV per atom. Number 3: uncorrected energy -1.6273 eV per atom. Number 4: uncorrected energy -1.8169 eV per atom. Number 5: uncorrected energy -2.7764 eV per atom. Number 6: uncorrected energy -1.6182 eV per atom. Number 7: uncorrected energy -1.2152 eV per atom. Number 8: uncorrected energy -2.7574 eV per atom. Number 9: uncorrected energy -2.3950 eV per atom. Number 10: uncorrected energy -1.8124 eV per atom. Number 11: uncorrected energy -1.7814 eV per atom. Number 12: uncorrected energy -2.3312 eV per atom.